Below is a geometry-optimized Ba2Zn4Si3Sn structure, with properties calculated at the PBE level.

a b c (Å): 4.535 4.535 10.817
angles (deg): 90.00 90.00 90.00
Space group P-4m2 (No. 115)
Unique sites:
Ba1 0.000 0.500 0.237 (multiplicity 2)
Zn1 0.000 0.000 0.000 (multiplicity 1)
Zn2 0.000 0.500 0.644 (multiplicity 2)
Zn3 0.500 0.500 0.000 (multiplicity 1)
Si1 0.000 0.500 0.877 (multiplicity 2)
Si2 0.500 0.500 0.500 (multiplicity 1)
Sn1 0.000 0.000 0.500 (multiplicity 1)

## Properties
Density of states at the Fermi level: 2.466 states/eV/f.u.

Below is a geometry-optimized BaSrSi structure, with properties calculated at the PBE level.

a b c (Å): 7.423 7.422 8.151
angles (deg): 90.00 90.08 90.00
Space group C2/m (No. 12)
Unique sites:
Ba1 0.250 0.000 0.126 (multiplicity 4)
Sr1 0.000 0.250 0.500 (multiplicity 4)
Si1 0.249 0.500 0.271 (multiplicity 4)

## Properties
Density of states at the Fermi level: 0.319 states/eV/f.u.

Below is a geometry-optimized BaSrSi structure, with properties calculated at the PBE level.

a b c (Å): 14.984 4.408 9.970
angles (deg): 90.00 131.03 90.00
Space group Cm (No. 8)
Unique sites:
Ba1 0.000 0.000 0.000 (multiplicity 2)
Ba2 0.119 0.500 0.723 (multiplicity 2)
Sr1 0.235 0.000 0.509 (multiplicity 2)
Sr2 0.354 0.500 0.255 (multiplicity 2)
Si1 0.026 0.500 0.286 (multiplicity 2)
Si2 0.330 0.000 0.000 (multiplicity 2)

## Properties
Density of states at the Fermi level: 2.239 states/eV/f.u.

Below is a geometry-optimized Ba4SrSi structure, with properties calculated at the PBE level.

a b c (Å): 10.555 10.555 10.555
angles (deg): 90.00 90.00 90.00
Space group F-43m (No. 216)
Unique sites:
Ba1 0.123 0.123 0.123 (multiplicity 16)
Sr1 0.000 0.000 0.500 (multiplicity 4)
Si1 0.250 0.250 0.750 (multiplicity 4)

## Properties
Density of states at the Fermi level: 9.078 states/eV/f.u.

Below is a geometry-optimized Ba3SrSi2 structure, with properties calculated at the PBE level.

a b c (Å): 5.364 10.161 8.338
angles (deg): 90.00 90.00 90.00
Space group Pmc2_1 (No. 26)
Unique sites:
Ba1 0.000 0.081 0.000 (multiplicity 2)
Ba2 0.000 0.334 0.371 (multiplicity 2)
Ba3 0.500 0.169 0.665 (multiplicity 2)
Sr1 0.500 0.415 0.035 (multiplicity 2)
Si1 0.000 0.354 0.776 (multiplicity 2)
Si2 0.500 0.151 0.261 (multiplicity 2)

Below is a geometry-optimized BaSr3Si structure, with properties calculated at the PBE level.

a b c (Å): 6.267 6.267 6.267
angles (deg): 90.00 90.00 90.00
Space group Pm-3m (No. 221)
Unique sites:
Ba1 0.000 0.000 0.000 (multiplicity 1)
Sr1 0.000 0.000 0.500 (multiplicity 3)
Si1 0.500 0.500 0.500 (multiplicity 1)

## Properties
Density of states at the Fermi level: 4.905 states/eV/f.u.
Offset from the most stable computed form: 1305.3 meV per atom

Below is a geometry-optimized BaSrSi structure, with properties calculated at the PBE level.

a b c (Å): 3.996 3.996 14.884
angles (deg): 90.00 90.00 90.00
Space group I4mm (No. 107)
Unique sites:
Ba1 0.000 0.000 0.000 (multiplicity 2)
Sr1 0.000 0.000 0.237 (multiplicity 2)
Si1 0.000 0.000 0.628 (multiplicity 2)

## Properties
Density of states at the Fermi level: 2.602 states/eV/f.u.

Below is a geometry-optimized BaSrSi4 structure, with properties calculated at the PBE level.

a b c (Å): 9.386 9.469 6.658
angles (deg): 90.00 90.00 90.00
Space group C222_1 (No. 20)
Unique sites:
Ba1 0.000 0.124 0.250 (multiplicity 4)
Sr1 0.125 0.500 0.500 (multiplicity 4)
Si1 0.127 0.210 0.791 (multiplicity 8)
Si2 0.201 0.377 0.047 (multiplicity 8)

## Properties
Density of states at the Fermi level: 0.528 states/eV/f.u.
Offset from the most stable computed form: 0.0 meV per atom

Below is a geometry-optimized BaSr3Si2 structure, with properties calculated at the PBE level.

a b c (Å): 5.186 9.661 8.370
angles (deg): 90.00 90.00 90.00
Space group Pmc2_1 (No. 26)
Unique sites:
Ba1 0.000 0.077 0.000 (multiplicity 2)
Sr1 0.000 0.331 0.626 (multiplicity 2)
Sr2 0.500 0.176 0.332 (multiplicity 2)
Sr3 0.500 0.425 0.954 (multiplicity 2)
Si1 0.000 0.357 0.239 (multiplicity 2)
Si2 0.500 0.150 0.721 (multiplicity 2)

## Properties
Density of states at the Fermi level: 0.069 states/eV/f.u.
Offset from the most stable computed form: 0.0 meV per atom

Below is a geometry-optimized Ba4SrSi4 structure, with properties calculated at the PBE level.

a b c (Å): 10.023 10.023 6.660
angles (deg): 90.00 90.00 90.00
Space group P4_2/n (No. 86, origin choice 2)
Unique sites:
Ba1 0.052 0.673 0.103 (multiplicity 8)
Sr1 0.250 0.250 0.250 (multiplicity 2)
Si1 0.000 0.400 0.408 (multiplicity 8)

## Properties
Density of states at the Fermi level: 8.295 states/eV/f.u.

Below is a geometry-optimized Ba2SrSi2 structure, with properties calculated at the PBE level.

a b c (Å): 8.289 8.289 5.146
angles (deg): 90.00 90.00 90.00
Space group P4/mbm (No. 127)
Unique sites:
Ba1 0.173 0.327 0.000 (multiplicity 4)
Sr1 0.000 0.000 0.500 (multiplicity 2)
Si1 0.101 0.601 0.500 (multiplicity 4)

## Properties
Density of states at the Fermi level: 6.017 states/eV/f.u.
Offset from the most stable computed form: 0.0 meV per atom

Below is a geometry-optimized Ba2Sr2Si structure, with properties calculated at the PBE level.

a b c (Å): 8.515 8.515 6.627
angles (deg): 90.00 90.00 90.00
Space group P4/mbm (No. 127)
Unique sites:
Ba1 0.172 0.328 0.000 (multiplicity 4)
Sr1 0.163 0.663 0.500 (multiplicity 4)
Si1 0.000 0.000 0.500 (multiplicity 2)

## Properties
Density of states at the Fermi level: 4.485 states/eV/f.u.

| no. | raw formation energy (eV per atom) |
| --- | --- |
| 1 | -0.285 |
| 2 | -0.324 |
| 3 | -0.234 |
| 4 | 0.494 |
| 5 | -0.305 |
| 6 | 1.209 |
| 7 | -0.157 |
| 8 | -0.354 |
| 9 | -0.360 |
| 10 | -0.260 |
| 11 | -0.314 |
| 12 | 0.092 |